This record from the Alexandria database describes a relaxed BaCrPO2 crystal. The functional is PBE+U.

## Properties
Total magnetic moment: 0.5365 μB per atom
N(E_F): 1.989 states/eV/f.u.
Electronic total energy: -4.74 eV/atom
Polymorph energy (0 for the lowest one): 1.186 eV/atom
Space group: P4/mmm, No. 123

Unit cell a=4.3948 b=4.3948 c=6.9144 alpha=90.00 beta=90.00 gamma=90.00
Sites, in units of the cell vectors:
Ba: 0.0000 0.0000 0.0000
Cr: 0.5000 0.5000 0.5000
P: 0.0000 0.0000 0.5000
O: 0.0000 0.5000 0.0000
O: 0.5000 0.0000 0.0000